No. 1
! FeTcBiAu PBE relaxed; values from VASP
! ΔE to the lowest computed polymorph (meV per atom): 0
! Symmetry: F-43m (216)
&SYSTEM
  ibrav = 0, nat = 4, ntyp = 4
/
ATOMIC_SPECIES
Fe 55.84 Fe.upf
Tc 98.00 Tc.upf
Bi 208.98 Bi.upf
Au 196.97 Au.upf
ATOMIC_POSITIONS angstrom
Fe 0.0000 0.0000 0.0000
Tc 3.2295 3.2295 3.2295
Bi 4.8443 4.8443 4.8443
Au 1.6148 1.6148 1.6148
CELL_PARAMETERS angstrom
0.0000 3.2295 3.2295
3.2295 0.0000 3.2295
3.2295 3.2295 0.0000



No. 2
! ZnFeBiAu PBE relaxed; values from VASP
! ΔE to the lowest computed polymorph (meV per atom): 0
! Symmetry: F-43m (216)
&SYSTEM
  ibrav = 0, nat = 4, ntyp = 4
/
ATOMIC_SPECIES
Zn 65.41 Zn.upf
Fe 55.84 Fe.upf
Bi 208.98 Bi.upf
Au 196.97 Au.upf
ATOMIC_POSITIONS angstrom
Zn 0.0000 0.0000 0.0000
Fe 3.3505 3.3505 3.3505
Bi 1.6753 1.6753 1.6753
Au 5.0258 5.0258 5.0258
CELL_PARAMETERS angstrom
0.0000 3.3505 3.3505
3.3505 0.0000 3.3505
3.3505 3.3505 0.0000



No. 3
! ZrFeBiAu PBE relaxed; values from VASP
! ΔE to the lowest computed polymorph (meV per atom): 0
! Symmetry: F-43m (216)
&SYSTEM
  ibrav = 0, nat = 4, ntyp = 4
/
ATOMIC_SPECIES
Zr 91.22 Zr.upf
Fe 55.84 Fe.upf
Bi 208.98 Bi.upf
Au 196.97 Au.upf
ATOMIC_POSITIONS angstrom
Zr 0.0000 0.0000 0.0000
Fe 3.3606 3.3606 3.3606
Bi 1.6803 1.6803 1.6803
Au 5.0409 5.0409 5.0409
CELL_PARAMETERS angstrom
0.0000 3.3606 3.3606
3.3606 0.0000 3.3606
3.3606 3.3606 0.0000



No. 4
! ZrFeBiAu PBE relaxed; values from VASP
! ΔE to the lowest computed polymorph (meV per atom): 135
! Symmetry: F-43m (216)
&SYSTEM
  ibrav = 0, nat = 4, ntyp = 4
/
ATOMIC_SPECIES
Zr 91.22 Zr.upf
Fe 55.84 Fe.upf
Bi 208.98 Bi.upf
Au 196.97 Au.upf
ATOMIC_POSITIONS angstrom
Zr 0.0000 0.0000 0.0000
Fe 5.1501 5.1501 5.1501
Bi 1.7167 1.7167 1.7167
Au 3.4334 3.4334 3.4334
CELL_PARAMETERS angstrom
0.0000 3.4334 3.4334
3.4334 0.0000 3.4334
3.4334 3.4334 0.0000



No. 5
! ZrFeBiAu PBE relaxed; values from VASP
! ΔE to the lowest computed polymorph (meV per atom): 30
! Symmetry: F-43m (216)
&SYSTEM
  ibrav = 0, nat = 4, ntyp = 4
/
ATOMIC_SPECIES
Zr 91.22 Zr.upf
Fe 55.84 Fe.upf
Bi 208.98 Bi.upf
Au 196.97 Au.upf
ATOMIC_POSITIONS angstrom
Zr 0.0000 0.0000 0.0000
Fe 5.0788 5.0788 5.0788
Bi 3.3859 3.3859 3.3859
Au 1.6929 1.6929 1.6929
CELL_PARAMETERS angstrom
0.0000 3.3859 3.3859
3.3859 0.0000 3.3859
3.3859 3.3859 0.0000



No. 6
! GaBiIrAu PBE relaxed; values from VASP
! ΔE to the lowest computed polymorph (meV per atom): 0
! Symmetry: F-43m (216)
&SYSTEM
  ibrav = 0, nat = 4, ntyp = 4
/
ATOMIC_SPECIES
Ga 69.72 Ga.upf
Bi 208.98 Bi.upf
Ir 192.22 Ir.upf
Au 196.97 Au.upf
ATOMIC_POSITIONS angstrom
Ga 0.0000 0.0000 0.0000
Bi 3.3824 3.3824 3.3824
Ir 5.0736 5.0736 5.0736
Au 1.6912 1.6912 1.6912
CELL_PARAMETERS angstrom
0.0000 3.3824 3.3824
3.3824 0.0000 3.3824
3.3824 3.3824 0.0000